# 1
First-principles (GGA-PBE) data for crystalline Ac4Te3Br4 at its relaxed geometry, as listed in Alexandria.

Lattice parameters (Å, degrees): 10.749 10.749 10.749 157.17 127.96 57.53
Fractional coordinates of all 11 atoms:
Ac (0.228, 0.000, 0.228)
Ac (0.233, 0.233, 0.000)
Ac (0.767, 0.767, 0.000)
Ac (0.772, 0.000, 0.772)
Te (0.096, 0.596, 0.500)
Te (0.500, 0.500, 0.000)
Te (0.904, 0.404, 0.500)
Br (0.141, 0.827, 0.314)
Br (0.487, 0.173, 0.314)
Br (0.513, 0.827, 0.686)
Br (0.859, 0.173, 0.686)

V   378.1 Å³ per cell
Crystal system   orthorhombic
E   -51.29 eV/f.u.
Formation energy from raw total energies   -1.704 eV per atom

# 2
First-principles (GGA-PBE) data for crystalline Ac4Te4Br at its relaxed geometry, as listed in Alexandria.

Lattice parameters (Å, degrees): 8.992 8.992 8.992 128.86 128.86 75.24
Fractional coordinates of all 9 atoms:
Ac (0.091, 0.638, 0.000)
Ac (0.362, 0.362, 0.453)
Ac (0.638, 0.091, 0.000)
Ac (0.909, 0.909, 0.547)
Te (0.000, 0.500, 0.500)
Te (0.284, 0.284, 0.000)
Te (0.500, 0.000, 0.500)
Te (0.716, 0.716, 0.000)
Br (0.000, 0.000, 0.000)

V   429.2 Å³ per cell
Crystal system   tetragonal
E   -41.65 eV/f.u.
Formation energy from raw total energies   -1.220 eV per atom

# 3
First-principles (GGA-PBE) data for crystalline Ac4Te4Br3 at its relaxed geometry, as listed in Alexandria.

Lattice parameters (Å, degrees): 11.357 11.357 11.357 156.90 133.76 52.31
Fractional coordinates of all 11 atoms:
Ac (0.227, 0.227, 0.000)
Ac (0.281, 0.500, 0.781)
Ac (0.719, 0.500, 0.219)
Ac (0.773, 0.773, 0.000)
Te (0.063, 0.338, 0.725)
Te (0.386, 0.662, 0.725)
Te (0.614, 0.338, 0.275)
Te (0.937, 0.662, 0.275)
Br (0.000, 0.000, 0.000)
Br (0.423, 0.923, 0.500)
Br (0.577, 0.077, 0.500)

V   413.5 Å³ per cell
Crystal system   orthorhombic
E   -50.83 eV/f.u.
Formation energy from raw total energies   -1.528 eV per atom

# 4
First-principles (GGA-PBE) data for crystalline AcTeBr at its relaxed geometry, as listed in Alexandria.

Lattice parameters (Å, degrees): 4.779 6.512 8.808 90.00 90.59 90.00
Fractional coordinates of all 6 atoms:
Ac (0.247, 0.250, 0.334)
Ac (0.753, 0.750, 0.666)
Te (0.248, 0.750, 0.399)
Te (0.752, 0.250, 0.601)
Br (0.257, 0.750, 0.886)
Br (0.743, 0.250, 0.114)

V   274.1 Å³ per cell
Crystal system   monoclinic
E   -14.18 eV/f.u.
Formation energy from raw total energies   -1.752 eV per atom
Offset from the most stable computed form   0.0 meV per atom

# 5
First-principles (GGA-PBE) data for crystalline Ac3Te3Br2 at its relaxed geometry, as listed in Alexandria.

Lattice parameters (Å, degrees): 12.519 12.519 12.519 160.07 156.24 31.20
Fractional coordinates of all 8 atoms:
Ac (0.000, 0.000, 0.000)
Ac (0.343, 0.843, 0.500)
Ac (0.657, 0.157, 0.500)
Te (0.117, 0.617, 0.500)
Te (0.500, 0.500, 0.000)
Te (0.883, 0.383, 0.500)
Br (0.246, 0.246, 0.000)
Br (0.754, 0.754, 0.000)

V   269.3 Å³ per cell
Crystal system   orthorhombic
E   -37.78 eV/f.u.
Formation energy from raw total energies   -1.586 eV per atom

# 6
First-principles (GGA-PBE) data for crystalline Ac6Te5Br at its relaxed geometry, as listed in Alexandria.

Lattice parameters (Å, degrees): 8.090 8.090 7.998 99.47 99.47 117.37
Fractional coordinates of all 12 atoms:
Ac (0.079, 0.416, 0.748)
Ac (0.247, 0.247, 0.251)
Ac (0.416, 0.079, 0.748)
Ac (0.584, 0.921, 0.252)
Ac (0.753, 0.753, 0.749)
Ac (0.921, 0.584, 0.252)
Te (0.000, 0.000, 0.500)
Te (0.167, 0.833, 0.000)
Te (0.334, 0.666, 0.500)
Te (0.666, 0.334, 0.500)
Te (0.833, 0.167, 0.000)
Br (0.500, 0.500, 0.000)

V   440.9 Å³ per cell
Crystal system   monoclinic
E   -59.06 eV/f.u.
Formation energy from raw total energies   -1.419 eV per atom

# 7
First-principles (GGA-PBE) data for crystalline AcTlTeBr at its relaxed geometry, as listed in Alexandria.

Lattice parameters (Å, degrees): 5.692 5.692 5.692 60.00 60.00 60.00
Fractional coordinates of all 4 atoms:
Ac (0.000, 0.000, 0.000)
Tl (0.500, 0.500, 0.500)
Te (0.750, 0.750, 0.750)
Br (0.250, 0.250, 0.250)

V   130.4 Å³ per cell
Crystal system   cubic
E   -15.43 eV/f.u.
Formation energy from raw total energies   -1.036 eV per atom

# 8
First-principles (GGA-PBE) data for crystalline Ac2ThBr at its relaxed geometry, as listed in Alexandria.

Lattice parameters (Å, degrees): 11.330 11.330 11.330 19.91 19.91 19.91
Fractional coordinates of all 4 atoms:
Ac (0.245, 0.245, 0.245)
Ac (0.755, 0.755, 0.755)
Th (0.000, 0.000, 0.000)
Br (0.500, 0.500, 0.500)

V   147.6 Å³ per cell
Crystal system   trigonal
E   -19.35 eV/f.u.
Formation energy from raw total energies   -0.510 eV per atom

# 9
First-principles (GGA-PBE) data for crystalline AcTiBr2 at its relaxed geometry, as listed in Alexandria.

Lattice parameters (Å, degrees): 10.116 10.116 10.116 21.45 21.45 21.45
Fractional coordinates of all 4 atoms:
Ac (0.000, 0.000, 0.000)
Ti (0.500, 0.500, 0.500)
Br (0.112, 0.112, 0.112)
Br (0.888, 0.888, 0.888)

V   121.3 Å³ per cell
Crystal system   trigonal
E   -17.65 eV/f.u.
Formation energy from raw total energies   -0.574 eV per atom

# 10
First-principles (GGA-PBE) data for crystalline AcTl2Br4 at its relaxed geometry, as listed in Alexandria.

Lattice parameters (Å, degrees): 11.743 11.743 11.743 150.93 150.93 41.58
Fractional coordinates of all 7 atoms:
Ac (0.000, 0.000, 0.000)
Tl (0.187, 0.187, 0.000)
Tl (0.813, 0.813, 0.000)
Br (0.000, 0.500, 0.500)
Br (0.319, 0.319, 0.000)
Br (0.500, 0.000, 0.500)
Br (0.681, 0.681, 0.000)

V   381.4 Å³ per cell
Crystal system   tetragonal
E   -22.17 eV/f.u.
Formation energy from raw total energies   -0.949 eV per atom

# 11
First-principles (GGA-PBE) data for crystalline Ac2TlBr at its relaxed geometry, as listed in Alexandria.

Lattice parameters (Å, degrees): 3.913 3.913 8.733 90.00 90.00 90.00
Fractional coordinates of all 4 atoms:
Ac (0.000, 0.000, 0.243)
Ac (0.000, 0.000, 0.757)
Tl (0.500, 0.500, 0.000)
Br (0.500, 0.500, 0.500)

V   133.7 Å³ per cell
Crystal system   tetragonal
E   -15.21 eV/f.u.
Formation energy from raw total energies   -0.739 eV per atom
Offset from the most stable computed form   54.3 meV per atom

# 12
First-principles (GGA-PBE) data for crystalline Ac3Tl5Br12 at its relaxed geometry, as listed in Alexandria.

Lattice parameters (Å, degrees): 16.371 16.371 16.371 109.47 109.47 109.47
Fractional coordinates of all 80 atoms:
Ac (0.125, 0.250, 0.375)
Ac (0.125, 0.375, 0.750)
Ac (0.250, 0.375, 0.125)
Ac (0.250, 0.875, 0.625)
Ac (0.375, 0.125, 0.250)
Ac (0.375, 0.750, 0.125)
Ac (0.625, 0.250, 0.875)
Ac (0.625, 0.875, 0.750)
Ac (0.750, 0.125, 0.375)
Ac (0.750, 0.625, 0.875)
Ac (0.875, 0.625, 0.250)
Ac (0.875, 0.750, 0.625)
Tl (0.000, 0.000, 0.000)
Tl (0.000, 0.000, 0.500)
Tl (0.000, 0.500, 0.000)
Tl (0.000, 0.500, 0.500)
Tl (0.125, 0.750, 0.875)
Tl (0.125, 0.875, 0.250)
Tl (0.250, 0.125, 0.875)
Tl (0.250, 0.625, 0.375)
Tl (0.375, 0.250, 0.625)
Tl (0.375, 0.625, 0.750)
Tl (0.500, 0.000, 0.000)
Tl (0.500, 0.000, 0.500)
Tl (0.500, 0.500, 0.000)
Tl (0.500, 0.500, 0.500)
Tl (0.625, 0.375, 0.250)
Tl (0.625, 0.750, 0.375)
Tl (0.750, 0.375, 0.625)
Tl (0.750, 0.875, 0.125)
Tl (0.875, 0.125, 0.750)
Tl (0.875, 0.250, 0.125)
Br (0.059, 0.627, 0.390)
Br (0.059, 0.932, 0.668)
Br (0.068, 0.236, 0.127)
Br (0.068, 0.332, 0.941)
Br (0.110, 0.736, 0.668)
Br (0.110, 0.873, 0.441)
Br (0.127, 0.068, 0.236)
Br (0.127, 0.559, 0.890)
Br (0.168, 0.236, 0.610)
Br (0.168, 0.432, 0.559)
Br (0.236, 0.127, 0.068)
Br (0.236, 0.610, 0.168)
Br (0.264, 0.332, 0.890)
Br (0.264, 0.432, 0.373)
Br (0.332, 0.890, 0.264)
Br (0.332, 0.941, 0.068)
Br (0.373, 0.264, 0.432)
Br (0.373, 0.610, 0.941)
Br (0.390, 0.059, 0.627)
Br (0.390, 0.832, 0.764)
Br (0.432, 0.373, 0.264)
Br (0.432, 0.559, 0.168)
Br (0.441, 0.110, 0.873)
Br (0.441, 0.832, 0.568)
Br (0.559, 0.168, 0.432)
Br (0.559, 0.890, 0.127)
Br (0.568, 0.441, 0.832)
Br (0.568, 0.627, 0.736)
Br (0.610, 0.168, 0.236)
Br (0.610, 0.941, 0.373)
Br (0.627, 0.390, 0.059)
Br (0.627, 0.736, 0.568)
Br (0.668, 0.059, 0.932)
Br (0.668, 0.110, 0.736)
Br (0.736, 0.568, 0.627)
Br (0.736, 0.668, 0.110)
Br (0.764, 0.390, 0.832)
Br (0.764, 0.873, 0.932)
Br (0.832, 0.568, 0.441)
Br (0.832, 0.764, 0.390)
Br (0.873, 0.441, 0.110)
Br (0.873, 0.932, 0.764)
Br (0.890, 0.127, 0.559)
Br (0.890, 0.264, 0.332)
Br (0.932, 0.668, 0.059)
Br (0.932, 0.764, 0.873)
Br (0.941, 0.068, 0.332)
Br (0.941, 0.373, 0.610)

V   3377.8 Å³ per cell
Crystal system   cubic
E   -68.34 eV/f.u.
Formation energy from raw total energies   -1.205 eV per atom

# 13
First-principles (GGA-PBE) data for crystalline AcTl4Br7 at its relaxed geometry, as listed in Alexandria.

Lattice parameters (Å, degrees): 6.113 8.459 12.072 76.70 79.94 71.10
Fractional coordinates of all 12 atoms:
Ac (0.000, 0.000, 0.000)
Tl (0.239, 0.404, 0.173)
Tl (0.322, 0.805, 0.445)
Tl (0.678, 0.195, 0.555)
Tl (0.761, 0.596, 0.827)
Br (0.028, 0.781, 0.237)
Br (0.186, 0.189, 0.424)
Br (0.192, 0.676, 0.902)
Br (0.500, 0.000, 0.000)
Br (0.808, 0.324, 0.098)
Br (0.814, 0.811, 0.576)
Br (0.972, 0.219, 0.763)

V   571.4 Å³ per cell
Crystal system   triclinic
E   -39.84 eV/f.u.
Formation energy from raw total energies   -1.213 eV per atom

# 14
First-principles (GGA-PBE) data for crystalline AcTl2Br6 at its relaxed geometry, as listed in Alexandria.

Lattice parameters (Å, degrees): 4.823 8.744 8.744 124.88 90.00 90.00
Fractional coordinates of all 9 atoms:
Ac (0.000, 0.000, 0.000)
Tl (0.500, 0.312, 0.648)
Tl (0.500, 0.648, 0.312)
Br (0.000, 0.023, 0.389)
Br (0.000, 0.389, 0.023)
Br (0.000, 0.618, 0.618)
Br (0.500, 0.000, 0.753)
Br (0.500, 0.256, 0.256)
Br (0.500, 0.753, 0.000)

V   302.5 Å³ per cell
Crystal system   orthorhombic
E   -29.92 eV/f.u.
Formation energy from raw total energies   -1.227 eV per atom

# 15
First-principles (GGA-PBE) data for crystalline Ac6Tl5Br at its relaxed geometry, as listed in Alexandria.

Lattice parameters (Å, degrees): 9.998 9.998 9.998 146.56 130.25 61.28
Fractional coordinates of all 12 atoms:
Ac (0.084, 0.838, 0.246)
Ac (0.248, 0.500, 0.748)
Ac (0.408, 0.162, 0.246)
Ac (0.592, 0.838, 0.754)
Ac (0.752, 0.500, 0.252)
Ac (0.916, 0.162, 0.754)
Tl (0.175, 0.675, 0.500)
Tl (0.335, 0.335, 0.000)
Tl (0.500, 0.000, 0.500)
Tl (0.665, 0.665, 0.000)
Tl (0.825, 0.325, 0.500)
Br (0.000, 0.000, 0.000)

V   416.3 Å³ per cell
Crystal system   orthorhombic
E   -43.79 eV/f.u.
Formation energy from raw total energies   -0.469 eV per atom

# 16
First-principles (GGA-PBE) data for crystalline AcTl3Br6 at its relaxed geometry, as listed in Alexandria.

Lattice parameters (Å, degrees): 8.059 8.797 13.762 90.00 122.32 90.00
Fractional coordinates of all 20 atoms:
Ac (0.000, 0.000, 0.000)
Ac (0.000, 0.500, 0.500)
Tl (0.300, 0.074, 0.776)
Tl (0.300, 0.426, 0.276)
Tl (0.500, 0.000, 0.500)
Tl (0.500, 0.500, 0.000)
Tl (0.700, 0.574, 0.724)
Tl (0.700, 0.926, 0.224)
Br (0.094, 0.073, 0.241)
Br (0.094, 0.427, 0.741)
Br (0.260, 0.717, 0.090)
Br (0.260, 0.783, 0.590)
Br (0.363, 0.170, 0.045)
Br (0.363, 0.330, 0.545)
Br (0.637, 0.670, 0.455)
Br (0.637, 0.830, 0.955)
Br (0.740, 0.217, 0.410)
Br (0.740, 0.283, 0.910)
Br (0.906, 0.573, 0.259)
Br (0.906, 0.927, 0.759)

V   824.5 Å³ per cell
Crystal system   monoclinic
E   -34.55 eV/f.u.
Formation energy from raw total energies   -1.331 eV per atom

# 17
First-principles (GGA-PBE) data for crystalline Ac2TlBr at its relaxed geometry, as listed in Alexandria.

Lattice parameters (Å, degrees): 8.463 8.463 8.463 32.79 32.79 32.79
Fractional coordinates of all 4 atoms:
Ac (0.000, 0.000, 0.000)
Ac (0.185, 0.185, 0.185)
Tl (0.592, 0.592, 0.592)
Br (0.765, 0.765, 0.765)

V   158.1 Å³ per cell
Crystal system   trigonal
E   -15.00 eV/f.u.
Formation energy from raw total energies   -0.686 eV per atom
Offset from the most stable computed form   107.3 meV per atom

# 18
First-principles (GGA-PBE) data for crystalline AcTlBr4 at its relaxed geometry, as listed in Alexandria.

Lattice parameters (Å, degrees): 8.791 8.791 7.847 109.50 109.50 108.85
Fractional coordinates of all 12 atoms:
Ac (0.010, 0.990, 0.750)
Ac (0.990, 0.010, 0.250)
Tl (0.365, 0.635, 0.250)
Tl (0.635, 0.365, 0.750)
Br (0.060, 0.731, 0.939)
Br (0.222, 0.342, 0.720)
Br (0.269, 0.940, 0.561)
Br (0.342, 0.222, 0.220)
Br (0.658, 0.778, 0.780)
Br (0.731, 0.060, 0.439)
Br (0.778, 0.658, 0.280)
Br (0.940, 0.269, 0.061)

V   470.0 Å³ per cell
Crystal system   monoclinic
E   -22.72 eV/f.u.
Formation energy from raw total energies   -1.592 eV per atom
Offset from the most stable computed form   21.9 meV per atom

# 19
First-principles (GGA-PBE) data for crystalline Ac2TlBr at its relaxed geometry, as listed in Alexandria.

Lattice parameters (Å, degrees): 5.304 4.133 6.643 90.00 90.13 90.00
Fractional coordinates of all 4 atoms:
Ac (0.000, 0.000, 0.000)
Ac (0.500, 0.500, 0.500)
Tl (0.000, 0.000, 0.500)
Br (0.500, 0.500, 0.000)

V   145.6 Å³ per cell
Crystal system   monoclinic
E   -15.43 eV/f.u.
Formation energy from raw total energies   -0.793 eV per atom
Offset from the most stable computed form   0.0 meV per atom

# 20
First-principles (GGA-PBE) data for crystalline Ac2TlBr at its relaxed geometry, as listed in Alexandria.

Lattice parameters (Å, degrees): 8.621 5.131 8.005 90.00 104.97 90.00
Fractional coordinates of all 8 atoms:
Ac (0.207, 0.216, 0.164)
Ac (0.207, 0.784, 0.664)
Ac (0.793, 0.216, 0.336)
Ac (0.793, 0.784, 0.836)
Tl (0.000, 0.277, 0.750)
Tl (0.000, 0.723, 0.250)
Br (0.500, 0.000, 0.000)
Br (0.500, 0.000, 0.500)

V   342.1 Å³ per cell
Crystal system   monoclinic
E   -14.96 eV/f.u.
Formation energy from raw total energies   -0.677 eV per atom
Offset from the most stable computed form   115.9 meV per atom